# 1
Compound: K5TcBr2O4
Source: the Alexandria database
Functional: PBE
Structure: optimized geometry

Values from the calculation:
As for the formation energy without anion corrections: -1.5519 eV per atom. Its space group is Amm2. Its total DFT energy (no corrections) is -4.805 eV/atom.

Lattice parameters (Å, degrees): 6.7788 6.1976 8.6500 90.00 90.00 123.15
With the nearest neighbours (Å) after each atom.
Fractional positions:
K 0.0705 0.3675 0.1992  3 O 2.69-2.97
K 0.5184 0.0000 0.5000  2 O 2.89, 2 Br 3.17
K 0.0705 0.3675 0.8008  3 O 2.69-2.97
K 0.7030 0.6325 0.8008  3 O 2.69-2.97
K 0.7030 0.6325 0.1992  3 O 2.69-2.97
Tc 0.4084 0.0000 0.0000  4 O 1.86-1.87
Br 0.9621 0.6236 0.5000  6 K 3.16-3.36
Br 0.3385 0.3764 0.5000  6 K 3.16-3.36
O 0.5772 0.0000 0.1695  1 Tc 1.86
O 0.5772 0.0000 0.8305  1 Tc 1.86
O 0.3807 0.2845 0.0000  1 Tc 1.87
O 0.0962 0.7155 0.0000  1 Tc 1.87



# 2
Compound: K2ThBr2O2
Source: the Alexandria database
Functional: PBE
Structure: optimized geometry

Values from the calculation:
As for the formation energy without anion corrections: -2.4201 eV per atom. Its space group is I4/mmm. Its total DFT energy (no corrections) is -5.688 eV/atom.

Lattice parameters (Å, degrees): 4.5479 4.5479 9.4403 103.94 103.94 90.00
With the nearest neighbours (Å) after each atom.
Fractional positions:
K 0.3754 0.3754 0.7507  4 O 3.17, 4 Br 3.32
K 0.6246 0.6246 0.2493  4 O 3.17, 4 Br 3.32
Th 0.0000 0.0000 0.0000  4 O 2.27
Br 0.1716 0.1716 0.3432  1 Th 3.05, 4 K 3.32
Br 0.8284 0.8284 0.6568  1 Th 3.05, 4 K 3.32
O 0.0000 0.5000 0.0000  2 Th 2.27
O 0.5000 0.0000 0.0000  2 Th 2.27



# 3
Compound: K2TlBrO
Source: the Alexandria database
Functional: PBE
Structure: optimized geometry

Values from the calculation:
As for the formation energy without anion corrections: -1.0919 eV per atom. Its space group is P4/mmm. Its total DFT energy (no corrections) is -3.330 eV/atom.

Lattice parameters (Å, degrees): 5.4058 5.4058 5.1242 90.00 90.00 90.00
With the nearest neighbours (Å) after each atom.
Fractional positions:
O 0.0000 0.0000 0.0000  2 Tl 2.56, 4 K 2.70
Tl 0.0000 0.0000 0.5000  2 O 2.56
K 0.0000 0.5000 0.0000  2 O 2.70
K 0.5000 0.0000 0.0000  2 O 2.70
Br 0.5000 0.5000 0.5000  8 K 3.72, 4 Tl 3.82